## PrYTh14 (PBE)

Data for PrYTh14 after structural relaxation.

Structure (extended XYZ):
```
16
Lattice="7.181 -0.441 0.000 -3.220 6.433 0.000 0.000 0.000 11.626" Properties=species:S:1:pos:R:3 pbc="T T T"
Th 0.557 1.782 0.000
Pr 2.396 2.721 5.813
Th -1.156 2.928 5.813
Y -2.797 6.153 5.813
Th 2.290 0.633 2.883
Th 0.672 3.860 2.880
Th 4.276 3.637 8.742
Th 5.879 0.419 2.897
Th 5.879 0.419 8.729
Th 2.290 0.633 8.742
Th 0.672 3.860 8.746
Th 4.149 1.563 0.000
Th -1.053 5.001 0.000
Th 0.814 5.908 5.813
Th 2.540 4.782 0.000
Th 4.276 3.637 2.883
```

**Density of states at the Fermi level**: 19.8 states/eV/cell
**Total moment**: 0.00 Bohr magnetons per cell
**ΔE_f**: 0.04 eV/atom